# 1
A plane-wave DFT calculation with PBE was carried out for an optimized crystal structure of Rb3HoB2O6.

```
Rb3HoB2O6
1.0
5.642 0.000 0.000
-2.821 4.886 0.000
0.000 0.000 7.203
Rb Ho B O
3 1 2 6
direct
0.333 0.667 0.750
0.667 0.333 0.250
0.000 0.000 0.000
0.000 0.000 0.500
0.667 0.333 0.686
0.333 0.667 0.314
0.620 0.810 0.314
0.190 0.380 0.314
0.190 0.810 0.314
0.810 0.620 0.686
0.380 0.190 0.686
0.810 0.190 0.686
```

Computed properties:
E_tot	-6.6634	eV/atom
SG	P-3m1, No. 164
formation energy from raw total energies	-2448.1	meV per atom
crystal system	trigonal
total magnetic moment	0.0	Bohr magnetons per cell

=====

# 2
A plane-wave DFT calculation with PBE was carried out for an optimized crystal structure of Pm2Pr3NdDy6.

```
Pm2Pr3NdDy6
1.0
-2.392 -4.339 3.858
-0.664 -0.615 -6.214
11.055 -4.318 0.300
Pm Pr Nd Dy
2 3 1 6
direct
0.333 0.667 0.000
0.667 0.333 0.000
0.167 0.833 0.500
0.833 0.167 0.500
0.500 0.500 0.500
0.000 0.000 0.000
0.917 0.584 0.751
0.749 0.749 0.249
0.083 0.416 0.249
0.584 0.917 0.751
0.251 0.251 0.751
0.416 0.083 0.249
```

Computed properties:
ΔE_f	0.012	eV/atom
E_tot	-4.6732	eV/atom
SG	C2/m, No. 12
crystal system	monoclinic
total magnetic moment	0.0	Bohr magnetons per cell

=====

# 3
A plane-wave DFT calculation with PBE was carried out for an optimized crystal structure of Mg3ScPt3.

```
Mg3ScPt3
1.0
6.595 -0.032 -0.001
-0.017 6.595 -0.001
0.001 0.001 5.950
Mg Sc Pt
6 2 6
direct
0.262 0.262 0.500
0.252 0.748 0.500
0.748 0.252 0.500
0.250 0.750 0.000
0.750 0.250 0.000
0.738 0.738 0.500
0.242 0.242 0.000
0.758 0.758 0.000
0.000 0.000 0.743
0.500 0.000 0.254
0.000 0.500 0.254
0.500 0.000 0.746
0.000 0.500 0.746
0.000 0.000 0.257
```

Computed properties:
ΔE_f	-0.840	eV/atom
E_tot	-5.0168	eV/atom
SG	Cmmm, No. 65
crystal system	orthorhombic
total magnetic moment	0.0	Bohr magnetons per cell

=====

# 4
A plane-wave DFT calculation with PBE was carried out for an optimized crystal structure of SrMgHg2.

```
SrMgHg2
1.0
-1.876 3.768 3.066
-4.682 -2.277 -0.067
1.010 -2.175 3.291
Sr Mg Hg
1 1 2
direct
0.000 0.500 0.500
0.500 0.000 0.500
0.000 0.000 0.000
0.500 0.500 0.000
```

Computed properties:
ΔE_f	-0.314	eV/atom
E_tot	-1.2842	eV/atom
SG	P4/mmm, No. 123
crystal system	tetragonal
total magnetic moment	0.0	Bohr magnetons per cell